# 1
VASP calculation (PBE-GGA) on a geometry-optimized Pt2PbW structure.

- Symmetry: F-43m
- Calculated formation energy: 0.46 eV/atom
- Spin magnetization: 0.00 Bohr magnetons per cell

a b c (Å): 4.652 4.652 4.652
angles (deg): 60.00 60.00 60.00
Sites, in units of the cell vectors:
Pb 0.500 0.500 0.500
W 0.750 0.750 0.750
Pt 0.250 0.250 0.250
Pt 0.000 0.000 0.000

---

# 2
VASP calculation (PBE-GGA) on a geometry-optimized CaAc2Si structure.

- Energy relative to the lowest polymorph listed for this composition: 0.0000 eV per atom
- Symmetry: Pnma
- Spin magnetization: 0.00 Bohr magnetons per cell

a b c (Å): 7.053 8.215 9.865
angles (deg): 90.00 90.00 90.00
Sites, in units of the cell vectors:
Ac 0.157 0.677 0.059
Ac 0.843 0.323 0.941
Ac 0.157 0.677 0.441
Ac 0.843 0.323 0.559
Ac 0.343 0.177 0.059
Ac 0.657 0.823 0.559
Ac 0.343 0.177 0.441
Ac 0.657 0.823 0.941
Ca 0.639 0.538 0.250
Ca 0.361 0.462 0.750
Ca 0.861 0.038 0.250
Ca 0.139 0.962 0.750
Si 0.536 0.126 0.750
Si 0.964 0.626 0.750
Si 0.036 0.374 0.250
Si 0.464 0.874 0.250

---

# 3
VASP calculation (PBE-GGA) on a geometry-optimized MnAsP2 structure.

- Symmetry: P4/mmm
- Calculated formation energy: 0.42 eV/atom
- Spin magnetization: 3.58 Bohr magnetons per cell

a b c (Å): 3.111 4.459 4.459
angles (deg): 90.00 90.00 90.00
Site moments in Bohr magnetons follow the coordinates.
Sites, in units of the cell vectors:
As 0.500 0.500 0.000  -0.03
P 0.000 0.500 0.500  -0.03
P 0.000 0.000 0.000  -0.03
Mn 0.500 0.000 0.500  3.52

---

# 4
VASP calculation (PBE-GGA) on a geometry-optimized Sn2BiF6 structure.

- Symmetry: C2/c
- DFT total energy: -42.3 eV/f.u.
- Spin magnetization: 2.01 Bohr magnetons per cell

a b c (Å): 8.962 7.417 7.417
angles (deg): 62.52 56.84 56.84
Site moments in Bohr magnetons follow the coordinates.
Sites, in units of the cell vectors:
Bi 0.750 0.998 0.002  0.51
Bi 0.250 0.002 0.998  0.51
F 0.740 0.666 0.079  0.02
F 0.238 0.672 0.077  0.02
F 0.760 0.921 0.334  0.02
F 0.559 0.572 0.572  0.02
F 0.260 0.334 0.921  0.02
F 0.738 0.077 0.672  0.02
F 0.240 0.079 0.666  0.02
F 0.762 0.328 0.923  0.02
F 0.941 0.428 0.428  0.02
F 0.262 0.923 0.328  0.02
F 0.059 0.572 0.572  0.02
F 0.441 0.428 0.428  0.02
Sn 0.238 0.665 0.662  0.05
Sn 0.738 0.662 0.665  0.05
Sn 0.762 0.335 0.338  0.05
Sn 0.262 0.338 0.335  0.05

---

# 5
VASP calculation (PBE-GGA) on a geometry-optimized Sr2Al5Ga3 structure.

- Energy relative to the lowest polymorph listed for this composition: 0.0080 eV per atom
- Symmetry: P-4m2
- Calculated formation energy: -0.32 eV/atom
- Spin magnetization: 0.00 Bohr magnetons per cell

a b c (Å): 4.436 4.436 11.141
angles (deg): 90.00 90.00 90.00
Sites, in units of the cell vectors:
Al 0.500 0.000 0.865
Al 0.000 0.000 0.000
Al 0.000 0.500 0.135
Al 0.500 0.500 0.500
Al 0.500 0.500 0.000
Sr 0.000 0.500 0.747
Sr 0.500 0.000 0.253
Ga 0.500 0.000 0.632
Ga 0.000 0.500 0.368
Ga 0.000 0.000 0.500

---

# 6
VASP calculation (PBE-GGA) on a geometry-optimized Ac4ErP5 structure.

- Symmetry: I4/mmm
- Calculated formation energy: -1.43 eV/atom
- Spin magnetization: 0.00 Bohr magnetons per cell

a b c (Å): 4.380 4.380 15.701
angles (deg): 98.02 98.02 90.00
Sites, in units of the cell vectors:
P 0.094 0.094 0.187
P 0.500 0.500 0.000
P 0.699 0.699 0.399
P 0.906 0.906 0.813
P 0.301 0.301 0.601
Er 0.000 0.000 0.000
Ac 0.404 0.404 0.807
Ac 0.596 0.596 0.193
Ac 0.802 0.802 0.603
Ac 0.198 0.198 0.397

---

# 7
VASP calculation (PBE-GGA) on a geometry-optimized Be6Ni5 structure.

- Symmetry: Immm
- Calculated formation energy: -0.34 eV/atom
- Spin magnetization: 0.00 Bohr magnetons per cell

a b c (Å): 3.697 5.065 6.325
angles (deg): 113.60 106.99 90.00
Sites, in units of the cell vectors:
Ni 0.325 0.825 0.649
Ni 0.660 0.660 0.320
Ni 0.340 0.340 0.680
Ni 0.675 0.175 0.351
Ni 0.000 0.500 0.000
Be 0.160 0.394 0.319
Be 0.500 0.225 0.000
Be 0.500 0.775 0.000
Be 0.840 0.074 0.681
Be 0.160 0.926 0.319
Be 0.840 0.606 0.681

---

# 8
VASP calculation (PBE-GGA) on a geometry-optimized LiCuTe2O8 structure.

- Symmetry: P-3
- DFT total energy: -58.9 eV/f.u.
- Spin magnetization: 2.07 Bohr magnetons per cell

a b c (Å): 5.589 5.589 5.990
angles (deg): 90.00 90.00 120.00
Site moments in Bohr magnetons follow the coordinates.
Sites, in units of the cell vectors:
Te 0.333 0.667 0.932  -0.02
Te 0.667 0.333 0.068  -0.02
Cu 0.000 0.000 0.000  0.72
O 0.931 0.635 0.861  0.17
O 0.635 0.704 0.139  0.17
O 0.069 0.365 0.139  0.17
O 0.365 0.296 0.861  0.17
O 0.333 0.667 0.625  0.12
O 0.704 0.069 0.861  0.17
O 0.296 0.931 0.139  0.17
O 0.667 0.333 0.375  0.12
Li 0.000 0.000 0.500  0.00

---

# 9
VASP calculation (PBE-GGA) on a geometry-optimized ZrCo2Ni structure.

- Symmetry: P2/m
- Calculated formation energy: 0.07 eV/atom
- Spin magnetization: 2.54 Bohr magnetons per cell

a b c (Å): 4.264 2.829 4.618
angles (deg): 81.79 90.00 90.00
Site moments in Bohr magnetons follow the coordinates.
Sites, in units of the cell vectors:
Zr 0.500 0.750 0.750  -0.18
Co 0.000 0.427 0.477  1.35
Co 0.000 0.073 0.023  1.35
Ni 0.500 0.250 0.250  0.15

---

# 10
VASP calculation (PBE-GGA) on a geometry-optimized TbNd2PaAs5 structure.

- Symmetry: P4/mmm
- Calculated formation energy: -0.62 eV/atom
- Spin magnetization: 0.00 Bohr magnetons per cell

a b c (Å): 5.089 5.089 10.943
angles (deg): 90.00 90.00 90.00
Sites, in units of the cell vectors:
As 0.000 0.500 0.500
As 0.500 0.000 0.500
As 0.000 0.000 0.753
As 0.500 0.500 0.000
As 0.000 0.000 0.247
Nd 0.500 0.500 0.272
Nd 0.500 0.500 0.728
Tb 0.000 0.000 0.000
Pa 0.000 0.000 0.500

---

# 11
VASP calculation (PBE-GGA) on a geometry-optimized Ce2Tm2Ge structure.

- Symmetry: I4/mmm
- Calculated formation energy: 0.23 eV/atom
- Spin magnetization: 2.29 Bohr magnetons per cell

a b c (Å): 4.167 4.167 9.188
angles (deg): 103.11 103.11 90.00
Site moments in Bohr magnetons follow the coordinates.
Sites, in units of the cell vectors:
Tm 0.250 0.750 0.500  0.07
Tm 0.750 0.250 0.500  0.07
Ge 0.000 0.000 0.000  -0.04
Ce 0.422 0.422 0.843  0.87
Ce 0.578 0.578 0.157  0.87

---

# 12
VASP calculation (PBE-GGA) on a geometry-optimized Tm3ZnSe6 structure.

- Symmetry: Cmc2_1
- DFT total energy: -49.9 eV/f.u.
- Spin magnetization: 0.00 Bohr magnetons per cell

a b c (Å): 6.553 8.933 8.933
angles (deg): 102.71 90.00 90.00
Sites, in units of the cell vectors:
Tm 0.894 0.610 0.390
Tm 0.975 0.073 0.281
Tm 0.475 0.281 0.073
Tm 0.394 0.390 0.610
Tm 0.475 0.927 0.719
Tm 0.975 0.719 0.927
Zn 0.526 0.799 0.201
Zn 0.026 0.201 0.799
Se 0.184 0.361 0.316
Se 0.184 0.684 0.639
Se 0.173 0.036 0.964
Se 0.658 0.223 0.777
Se 0.158 0.777 0.223
Se 0.708 0.558 0.092
Se 0.208 0.442 0.908
Se 0.684 0.316 0.361
Se 0.208 0.092 0.558
Se 0.684 0.639 0.684
Se 0.708 0.908 0.442
Se 0.673 0.964 0.036